(1)
Pm7BiP5 | PBE | optimized geometry

Computed properties:
Its space-group type is No. 63. Its crystal system is orthorhombic.

Cell and atoms, written as extended XYZ:
```
26
Lattice="-2.980 -2.942 0.097 1.645 1.089 -6.869 17.317 -17.494 1.369" Properties=species:S:1:pos:R:3 pbc="T T T"
Pm 4.476 -4.735 -6.109
Pm 11.506 -14.612 0.698
Pm -0.855 -2.173 -1.762
Pm 16.838 -17.174 -3.649
Pm 9.363 -9.623 -4.239
Pm 6.619 -9.724 -1.171
Pm 2.999 -3.108 -2.138
Pm 12.983 -16.239 -3.272
Pm 10.215 -13.443 -3.490
Pm 5.767 -5.904 -1.920
Pm 0.424 -3.589 -5.387
Pm 15.559 -15.759 -0.023
Pm 10.474 -10.622 -0.424
Pm 5.508 -8.725 -4.986
Bi 2.931 -6.071 -3.664
Bi 13.051 -13.276 -1.747
P 0.000 0.000 -0.004
P 14.653 -17.882 -1.795
P 1.329 -1.465 -3.616
P 4.721 -7.765 -0.046
P 11.261 -11.582 -5.364
P 8.659 -8.747 0.681
P 7.498 -7.697 -3.128
P 8.484 -11.650 -2.282
P 14.998 -15.357 -5.070
P 0.984 -3.990 -0.341
```

(2)
Hf4GaCo | PBE | optimized geometry

Computed properties:
Its space-group type is No. 124. Its crystal system is tetragonal.

Cell and atoms, written as extended XYZ:
```
12
Lattice="-0.678 2.025 4.948 -3.917 -4.972 1.498 5.128 -3.407 2.098" Properties=species:S:1:pos:R:3 pbc="T T T"
Hf 2.644 -3.096 1.630
Hf -1.433 -5.283 1.966
Hf -0.461 -2.339 0.894
Hf 1.672 -6.040 2.702
Hf -0.226 -5.297 5.072
Hf 0.759 -1.057 3.472
Hf -1.981 -2.825 3.820
Hf 2.514 -3.529 4.724
Ga -0.170 0.506 1.237
Ga -0.509 1.519 3.711
Co 0.436 -3.683 3.035
Co 0.097 -2.671 5.509
```

(3)
TbY7Tm3 | PBE | optimized geometry

Computed properties:
Its space-group type is No. 10. Its crystal system is monoclinic.

Cell and atoms, written as extended XYZ:
```
11
Lattice="1.563 0.236 -5.296 -3.570 -9.148 -1.463 -6.508 4.433 4.044" Properties=species:S:1:pos:R:3 pbc="T T T"
Tb -4.258 -2.239 -1.357
Y -7.521 -3.305 -2.370
Y -3.504 -4.731 -4.129
Y -1.390 -2.346 -3.398
Y -7.126 -2.132 0.683
Y -2.473 2.334 -0.626
Y -5.012 0.253 1.414
Y -0.995 -1.174 -0.345
Tm -8.188 -5.616 0.215
Tm -1.785 -4.574 -0.732
Tm -0.328 1.137 -2.930
```

Calculated volume, respectively: 27.1; 19.0; 32.5 A^3/atom.
ΔE_f, respectively: -1.395; -0.343; 0.147 eV/atom.
Size of the total moment, respectively: 1.431; 0.000; 0.000 Bohr magnetons per cell.